Compound: CaLa8Y3
Source: the Alexandria database
Functional: PBE
Structure: optimized geometry

N(E_F): 1.8508 states/eV/atom
ΔE_f: 0.5460 eV/atom
symmetry: I-42m (121)

Structure (POSCAR):
```
CaLa8Y3
1.0
-4.411 4.411 6.267
4.411 -4.411 6.267
4.411 4.411 -6.267
Ca La Y
1 8 3
Direct
0.000 0.000 0.000
0.128 0.128 0.703
0.215 0.682 0.000
0.318 0.318 0.534
0.425 0.425 0.297
0.575 0.872 0.000
0.682 0.215 0.000
0.785 0.785 0.466
0.872 0.575 0.000
0.250 0.750 0.500
0.500 0.500 0.000
0.750 0.250 0.500
```

***

Compound: CaLa2Y2
Source: the Alexandria database
Functional: PBE
Structure: optimized geometry

relative energy among the computed polymorphs: 56 meV per atom
N(E_F): 0.8188 states/eV/atom
ΔE_f: 0.0844 eV/atom
symmetry: P4/mbm (127)

Structure (POSCAR):
```
CaLa2Y2
1.0
9.939 0.000 0.000
0.000 9.939 0.000
0.000 0.000 3.708
Ca La Y
2 4 4
Direct
0.000 0.000 0.000
0.500 0.500 0.000
0.177 0.323 0.500
0.323 0.823 0.500
0.677 0.177 0.500
0.823 0.677 0.500
0.120 0.620 0.000
0.380 0.120 0.000
0.620 0.880 0.000
0.880 0.380 0.000
```

***

Compound: Ca2LaY
Source: the Alexandria database
Functional: PBE
Structure: optimized geometry

relative energy among the computed polymorphs: 62 meV per atom
N(E_F): 1.8525 states/eV/atom
ΔE_f: 0.1037 eV/atom
symmetry: R-3m (166)

Structure (POSCAR):
```
Ca2LaY
1.0
3.724 0.000 0.000
-1.862 3.225 0.000
0.000 0.000 37.476
Ca La Y
6 3 3
Direct
0.000 0.000 0.248
0.000 0.000 0.752
0.333 0.667 0.419
0.333 0.667 0.915
0.667 0.333 0.085
0.667 0.333 0.581
0.000 0.000 0.000
0.333 0.667 0.667
0.667 0.333 0.333
0.000 0.000 0.500
0.333 0.667 0.167
0.667 0.333 0.833
```

***

Compound: Ca2LaY
Source: the Alexandria database
Functional: PBE
Structure: optimized geometry

relative energy among the computed polymorphs: 51 meV per atom
N(E_F): 1.7873 states/eV/atom
ΔE_f: 0.0925 eV/atom
symmetry: Cmm2 (35)

Structure (POSCAR):
```
Ca2LaY
1.0
4.015 0.000 0.000
0.000 6.075 0.000
0.000 0.000 12.520
Ca La Y
4 2 2
Direct
0.000 0.000 0.000
0.000 0.500 0.264
0.500 0.000 0.264
0.500 0.500 0.000
0.000 0.000 0.528
0.500 0.500 0.528
0.000 0.500 0.755
0.500 0.000 0.755
```

***

Compound: Ca2La6Y
Source: the Alexandria database
Functional: PBE
Structure: optimized geometry

N(E_F): 1.5106 states/eV/atom
ΔE_f: 0.1203 eV/atom
symmetry: P-1 (2)

Structure (POSCAR):
```
Ca2La6Y
1.0
7.187 0.000 0.000
2.210 8.673 0.000
3.197 2.876 11.038
Ca La Y
4 12 2
Direct
0.084 0.199 0.479
0.150 0.521 0.754
0.850 0.479 0.246
0.916 0.801 0.521
0.111 0.997 0.214
0.132 0.744 0.995
0.315 0.574 0.277
0.353 0.342 0.050
0.409 0.851 0.694
0.480 0.738 0.438
0.520 0.262 0.562
0.591 0.149 0.306
0.647 0.658 0.950
0.685 0.426 0.723
0.868 0.256 0.005
0.889 0.003 0.786
0.357 0.086 0.883
0.643 0.914 0.117
```

***

Compound: CaLa2Y2
Source: the Alexandria database
Functional: PBE
Structure: optimized geometry

relative energy among the computed polymorphs: 90 meV per atom
N(E_F): 0.6572 states/eV/atom
ΔE_f: 0.1182 eV/atom
symmetry: P4/mbm (127)

Structure (POSCAR):
```
CaLa2Y2
1.0
9.763 0.000 0.000
0.000 9.763 0.000
0.000 0.000 3.826
Ca La Y
2 4 4
Direct
0.000 0.000 0.000
0.500 0.500 0.000
0.130 0.370 0.000
0.370 0.870 0.000
0.630 0.130 0.000
0.870 0.630 0.000
0.170 0.670 0.500
0.330 0.170 0.500
0.670 0.830 0.500
0.830 0.330 0.500
```